No. 1
Computed, not measured: crystalline AcAlCuNi at its relaxed geometry at the PBE level of DFT.

Symmetry ... Cm, No. 8
Total moment ... 0.00 μB per atom

POSCAR file:
```
AcAlCuNi
1.0
4.2842 0.0000 0.0000
-2.1421 3.7086 0.0051
0.0000 -2.4584 5.1990
Cu Al Ac Ni
1 1 1 1
Cartesian
0.0000 0.8989 4.7152
0.0000 0.8844 0.0398
2.1421 -0.3438 2.5477
2.1421 2.1205 0.3359
```

=====

No. 2
Computed, not measured: crystalline La5TbPr2Er at its relaxed geometry at the PBE level of DFT.

Symmetry ... I4/mcm, No. 140
Total moment ... 0.00 μB per atom

POSCAR file:
```
La5TbPr2Er
1.0
-7.0468 5.0045 -0.8749
-0.4880 -2.1558 -8.4013
-1.2724 -8.1672 6.6610
La Pr Er Tb
10 4 2 2
Cartesian
-5.4447 -2.9251 3.0516
-5.2792 -4.2937 -1.0982
-3.5279 -1.0248 -1.5169
-3.3625 -2.3934 -5.6667
-7.0796 1.3522 -2.4424
-3.7674 1.4243 -4.6381
-6.9142 -0.0164 -6.5922
-1.7275 -6.6707 -0.1727
-1.8929 -5.3021 3.9771
0.0000 0.0000 0.0000
-3.0799 -0.0057 -7.6920
-6.4800 3.0414 -6.0059
-1.0548 -0.1928 -3.2702
-4.4548 2.8544 -1.5841
-6.0433 -0.8692 0.5740
-2.7639 -4.4493 -3.1892
-6.2873 -1.9471 -3.6266
-2.5199 -3.3714 1.0115
```

=====

Quick rundown of DOS(E_F), same order as above: 0.839 1.731 states/eV per atom
Quick rundown of DFT total energy, same order as above: -19.312 -82.067 eV for the cell shown
Quick rundown of ΔE_f, same order as above: -0.40 0.26 eV/atom